[1]
DFT (PBE) results for an optimized crystal structure of Li2ErAu8.

Calculated values
The value obtained for the calculated formation energy is -479.1 meV per atom. The energy is -3.63 eV per atom. The energy above the most stable polymorph in this dataset is 0 meV/atom. For the mass density, the calculation gives 14.803 Mg/m³.

abc: 7.790 7.790 6.680
angles: 106.41 106.41 30.56
Sites, in units of the cell vectors:
Li 0.221 0.221 0.148
Li 0.779 0.779 0.852
Er 0.500 0.500 0.500
Au 0.046 0.046 0.221
Au 0.146 0.146 0.703
Au 0.317 0.317 0.585
Au 0.396 0.396 0.039
Au 0.604 0.604 0.961
Au 0.683 0.683 0.415
Au 0.854 0.854 0.297
Au 0.954 0.954 0.779

***

[2]
DFT (PBE) results for an optimized crystal structure of LiErLuAu.

Calculated values
The value obtained for the calculated formation energy is -431.2 meV per atom. The energy is -4.00 eV per atom. For the mass density, the calculation gives 10.140 Mg/m³.

abc: 5.020 5.020 5.020
angles: 60.00 60.00 60.00
Sites, in units of the cell vectors:
Li 0.000 0.000 0.000
Er 0.750 0.750 0.750
Lu 0.250 0.250 0.250
Au 0.500 0.500 0.500